Record 1
First-principles (PBE+U) data for LiPuFeO4 after structural relaxation, as listed in the Alexandria database.

Cell: 6.9981 6.0148 6.8153 Å, 124.51 90.00 125.57°
With the nearest neighbours (Å) after each atom.
Fractional coordinates of all 14 atoms:
Li: 0.5000 0.5000 0.5000  2 O 1.91
Li: 0.0000 0.5000 0.5000  2 O 1.91
Pu: 0.5000 0.0000 0.5000  6 O 2.07-2.19
Pu: 0.5000 0.0000 0.0000  6 O 2.07-2.19
Fe: 0.9483 0.8966 0.1983  6 O 2.14-2.35
Fe: 0.0517 0.1034 0.8017  6 O 2.14-2.35
O: 0.7938 0.5875 0.7637  1 Pu 2.07, 1 Fe 2.20
O: 0.2876 0.9674 0.2337  1 Li 1.91
O: 0.6798 0.9674 0.2337  1 Li 1.91
O: 0.7938 0.5875 0.3238  1 Pu 2.07, 1 Fe 2.20
O: 0.2062 0.4125 0.6762  1 Pu 2.07, 1 Fe 2.20
O: 0.7124 0.0326 0.7663  1 Li 1.91
O: 0.3202 0.0326 0.7663  1 Li 1.91
O: 0.2062 0.4125 0.2363  1 Pu 2.07, 1 Fe 2.20

=====

Record 2
First-principles (PBE+U) data for Li2PuFeO6 after structural relaxation, as listed in the Alexandria database.

Cell: 5.2398 5.2394 5.5566 Å, 90.00 118.14 120.00°
With the nearest neighbours (Å) after each atom.
Fractional coordinates of all 10 atoms:
Li: 0.5542 0.7766 0.3165  3 O 2.04
Li: 0.5723 0.2857 0.8441  6 O 2.06-2.31
Pu: 0.9861 0.9925 0.9645  6 O 2.02
Fe: 0.9916 0.4953 0.4727  6 O 2.01-2.05
O: 0.4884 0.8712 0.7025  1 Fe 2.01, 1 Pu 2.02, 1 Li 2.06
O: 0.4864 0.1172 0.1991  1 Pu 2.02, 1 Li 2.04, 1 Fe 2.05
O: 0.8450 0.7267 0.1991  1 Pu 2.02, 1 Li 2.04, 1 Fe 2.05
O: 0.0961 0.3682 0.1992  1 Pu 2.02, 1 Li 2.04, 1 Fe 2.05
O: 0.8452 0.6162 0.7023  1 Fe 2.01, 1 Pu 2.02, 1 Li 2.06
O: 0.1001 0.2280 0.7024  1 Fe 2.01, 1 Pu 2.02, 1 Li 2.06

=====

Record 3
First-principles (PBE+U) data for Li2PuFeO4 after structural relaxation, as listed in the Alexandria database.

Cell: 6.3440 6.3077 6.3855 Å, 120.45 120.25 85.12°
With the nearest neighbours (Å) after each atom.
Fractional coordinates of all 16 atoms:
Li: 0.5000 0.0000 0.0000  2 O 2.04
Li: 0.5000 0.0000 0.5000  2 O 2.04
Li: 0.0000 0.0000 0.5000  2 O 2.11
Li: 0.5000 0.5000 0.0000  2 O 2.13
Pu: 0.5000 0.5000 0.5000  6 O 2.21-2.25
Pu: 0.0000 0.0000 0.0000  6 O 2.16-2.27
Fe: 0.0000 0.5000 0.0000  6 O 2.14-2.24
Fe: 0.0000 0.5000 0.5000  6 O 2.14-2.24
O: 0.2329 0.7294 0.9814  1 Li 2.13, 1 Pu 2.16, 2 Fe 2.24
O: 0.7965 0.2850 0.5405  1 Li 2.11, 2 Fe 2.14, 1 Pu 2.21
O: 0.2036 0.7150 0.4595  1 Li 2.11, 2 Fe 2.14, 1 Pu 2.21
O: 0.7671 0.2706 0.0186  1 Li 2.13, 1 Pu 2.16, 2 Fe 2.24
O: 0.7371 0.7605 0.9818  1 Li 2.04, 1 Fe 2.24, 2 Pu 2.25-2.27
O: 0.7366 0.7601 0.5153  1 Li 2.04, 1 Fe 2.24, 2 Pu 2.25-2.27
O: 0.2634 0.2399 0.4847  1 Li 2.04, 1 Fe 2.24, 2 Pu 2.25-2.27
O: 0.2630 0.2395 0.0182  1 Li 2.04, 1 Fe 2.24, 2 Pu 2.25-2.27

=====

Record 4
First-principles (PBE+U) data for LiPuFeO5 after structural relaxation, as listed in the Alexandria database.

Cell: 5.7237 5.7237 8.3949 Å, 111.64 111.64 92.39°
With the nearest neighbours (Å) after each atom.
Fractional coordinates of all 16 atoms:
Li: 0.6605 0.3395 0.2500  4 O 2.00-2.03
Li: 0.3395 0.6605 0.7500  4 O 2.00-2.03
Pu: 0.0000 0.0000 0.5000  4 O 1.90-1.98
Pu: 0.0000 0.0000 0.0000  4 O 1.90-1.98
Fe: 0.3081 0.6919 0.2500  3 O 1.96-2.00
Fe: 0.6919 0.3081 0.7500  3 O 1.96-2.00
O: 0.0704 0.9296 0.2500  1 Fe 1.96, 2 Pu 2.18
O: 0.9296 0.0704 0.7500  1 Fe 1.96, 2 Pu 2.18
O: 0.7577 0.2113 0.0275  1 Pu 1.90, 1 Li 2.03
O: 0.2423 0.7887 0.9725  1 Pu 1.90, 1 Li 2.03
O: 0.7887 0.2423 0.4725  1 Pu 1.90, 1 Li 2.03
O: 0.2113 0.7577 0.5275  1 Pu 1.90, 1 Li 2.03
O: 0.6888 0.7211 0.3488  1 Pu 1.98, 1 Fe 2.00, 1 Li 2.00
O: 0.3112 0.2789 0.6512  1 Pu 1.98, 1 Fe 2.00, 1 Li 2.00
O: 0.2789 0.3112 0.1512  1 Pu 1.98, 1 Fe 2.00, 1 Li 2.00
O: 0.7211 0.6888 0.8488  1 Pu 1.98, 1 Fe 2.00, 1 Li 2.00

=====

In the order shown, the computed V values come out to 167.42 110.81 185.25 232.52 Å³/cell.
In the order shown, the computed total DFT energy (no corrections) values come out to -113.89 -73.93 -121.56 -125.66 eV/cell.